i) The following is a DFT calculation (PBEsol) of a geometry-optimized LaCd3Ru structure.

abc: 5.7119 5.7119 5.7119
angles: 90.00 90.00 90.00
Sites, in units of the cell vectors:
La  0.0000  0.0000  0.0000
Cd  0.0000  0.0000  0.5000
Cd  0.0000  0.5000  0.0000
Cd  0.5000  0.0000  0.0000
Ru  0.5000  0.5000  0.5000

D(E_F): 5.6 states/eV/f.u.
Mass density: 5.1 g/cm³
Magnetic moment: 2.0 Bohr magnetons per cell



ii) The following is a DFT calculation (PBEsol) of a geometry-optimized LaCd3Ru structure.

abc: 5.0526 5.0526 5.0526
angles: 90.00 90.00 90.00
Sites, in units of the cell vectors:
La  0.0000  0.0000  0.0000
Cd  0.0000  0.5000  0.5000
Cd  0.5000  0.0000  0.5000
Cd  0.5000  0.5000  0.0000
Ru  0.5000  0.5000  0.5000

D(E_F): 4.3 states/eV/f.u.
Mass density: 7.4 g/cm³
Magnetic moment: 0.0 Bohr magnetons per cell



From most stable to least stable, the computed energies give ii), i).



i) The following is a DFT calculation (PBEsol) of a geometry-optimized La2CdSb structure.

abc: 4.0629 4.0629 6.9979
angles: 90.00 90.00 90.00
Sites, in units of the cell vectors:
La  0.0000  0.0000  0.2412
La  0.0000  0.0000  0.7588
Cd  0.5000  0.5000  0.5000
Sb  0.5000  0.5000  0.0000

D(E_F): 4.0 states/eV/f.u.
Mass density: 7.4 g/cm³
Magnetic moment: 0.0 Bohr magnetons per cell



ii) The following is a DFT calculation (PBEsol) of a geometry-optimized La2CdSb structure.

abc: 5.3899 5.3899 5.3899
angles: 60.00 60.00 60.00
Sites, in units of the cell vectors:
La  0.0000  0.0000  0.0000
La  0.2500  0.2500  0.2500
Cd  0.7500  0.7500  0.7500
Sb  0.5000  0.5000  0.5000

D(E_F): 5.4 states/eV/f.u.
Mass density: 7.7 g/cm³
Magnetic moment: 0.0 Bohr magnetons per cell



From most stable to least stable, the computed energies give i), ii).



i) The following is a DFT calculation (PBEsol) of a geometry-optimized LaTaCd2 structure.

abc: 3.0307 3.0307 9.3545
angles: 90.00 90.00 90.00
Sites, in units of the cell vectors:
La  0.0000  0.0000  0.0000
Ta  0.0000  0.0000  0.5000
Cd  0.5000  0.5000  0.2791
Cd  0.5000  0.5000  0.7209

D(E_F): 2.7 states/eV/f.u.
Mass density: 10.5 g/cm³
Magnetic moment: 0.0 Bohr magnetons per cell



ii) The following is a DFT calculation (PBEsol) of a geometry-optimized LaTaCd2 structure.

abc: 6.2975 6.2975 6.2975
angles: 150.45 133.16 56.36
Sites, in units of the cell vectors:
La  0.0000  0.0000  0.0000
Ta  0.5000  0.5000  0.0000
Cd  0.2762  0.7762  0.5000
Cd  0.7238  0.2238  0.5000

D(E_F): 2.1 states/eV/f.u.
Mass density: 10.1 g/cm³
Magnetic moment: 0.0 Bohr magnetons per cell



From most stable to least stable, the computed energies give i), ii).



i) The following is a DFT calculation (PBEsol) of a geometry-optimized LaTaCd2 structure.

abc: 5.5889 5.5889 5.5889
angles: 133.34 133.34 68.12
Sites, in units of the cell vectors:
La  0.0000  0.0000  0.0000
Ta  0.7500  0.2500  0.5000
Cd  0.2500  0.7500  0.5000
Cd  0.5000  0.5000  0.0000

D(E_F): 3.6 states/eV/f.u.
Mass density: 10.0 g/cm³
Magnetic moment: 0.0 Bohr magnetons per cell



ii) The following is a DFT calculation (PBEsol) of a geometry-optimized LaTaCd2 structure.

abc: 5.0688 5.0688 5.0688
angles: 60.00 60.00 60.00
Sites, in units of the cell vectors:
La  0.0000  0.0000  0.0000
Ta  0.5000  0.5000  0.5000
Cd  0.2500  0.2500  0.2500
Cd  0.7500  0.7500  0.7500

D(E_F): 3.1 states/eV/f.u.
Mass density: 9.8 g/cm³
Magnetic moment: 0.0 Bohr magnetons per cell



From most stable to least stable, the computed energies give ii), i).



i) The following is a DFT calculation (PBEsol) of a geometry-optimized LaTaCd structure.

abc: 4.9496 4.9496 4.9496
angles: 60.00 60.00 60.00
Sites, in units of the cell vectors:
La  0.0000  0.0000  0.0000
Ta  0.7500  0.7500  0.7500
Cd  0.2500  0.2500  0.2500

D(E_F): 3.4 states/eV/f.u.
Mass density: 8.4 g/cm³
Magnetic moment: 2.2 Bohr magnetons per cell



ii) The following is a DFT calculation (PBEsol) of a geometry-optimized LaTaCd structure.

abc: 5.1456 5.1456 3.0139
angles: 90.00 90.00 120.00
Sites, in units of the cell vectors:
La  0.0000  0.0000  0.0000
Ta  0.3333  0.6667  0.5000
Cd  0.6667  0.3333  0.5000

D(E_F): 3.4 states/eV/f.u.
Mass density: 10.4 g/cm³
Magnetic moment: 0.0 Bohr magnetons per cell



From most stable to least stable, the computed energies give ii), i).



i) The following is a DFT calculation (PBEsol) of a geometry-optimized LaCd2Tc structure.

abc: 3.4295 3.4295 7.4326
angles: 90.00 90.00 90.00
Sites, in units of the cell vectors:
La  0.0000  0.0000  0.0000
Cd  0.0000  0.0000  0.5715
Cd  0.5000  0.5000  0.3445
Tc  0.5000  0.5000  0.7631

D(E_F): 3.3 states/eV/f.u.
Mass density: 8.8 g/cm³
Magnetic moment: 0.0 Bohr magnetons per cell



ii) The following is a DFT calculation (PBEsol) of a geometry-optimized LaCd2Tc structure.

abc: 10.7324 10.7324 10.7324
angles: 15.94 15.94 15.94
Sites, in units of the cell vectors:
La  0.0000  0.0000  0.0000
Cd  0.2391  0.2391  0.2391
Cd  0.7609  0.7609  0.7609
Tc  0.5000  0.5000  0.5000

D(E_F): 3.5 states/eV/f.u.
Mass density: 9.4 g/cm³
Magnetic moment: 0.0 Bohr magnetons per cell



From most stable to least stable, the computed energies give i), ii).